The following is a SCAN calculation of a PBEsol-optimized structure of NiAgAs2, from the Alexandria database.

The energy above the lowest structure with this stoichiometry is 0.000 eV/atom.

It has space group R3m (No. 160, hexagonal axes), with a = 2.9161 Å, b = 2.9161 Å, c = 26.3080 Å, α = 90.00°, β = 90.00° and γ = 120.00°. The inequivalent atoms are Ni at (0.0000, 0.0000, 0.0000), Ag at (0.0000, 0.0000, 0.2539), As at (0.0000, 0.0000, 0.4983) and As at (0.0000, 0.0000, 0.7277).


The following is a SCAN calculation of a PBEsol-optimized structure of CdOs, from the Alexandria database.

The total energy comes out at -100.113 eV per cell.

It has space group Pm-3m (No. 221), with a = 3.188 Å, b = 3.188 Å, c = 3.188 Å, α = 90.00°, β = 90.00° and γ = 90.00°. The inequivalent atoms are Cd at (0.000, 0.000, 0.000) and Os at (0.500, 0.500, 0.500).


The following is a SCAN calculation of a PBEsol-optimized structure of Pt4Rh5, from the Alexandria database.

The total energy comes out at -899.771 eV per cell.

It has space group I4/mmm (No. 139), with a = 8.142 Å, b = 8.142 Å, c = 3.835 Å, α = 90.00°, β = 90.00° and γ = 90.00°. The inequivalent atoms are Pt at (0.000, 0.328, 0.000), Rh at (0.000, 0.000, 0.000) and Rh at (0.164, 0.164, 0.500).